1.
Li2CaBeCo | PBE-GGA | optimized geometry

POSCAR file:
```
Li2CaBeCo
1.0
4.6187 0.0000 0.0000
0.0000 4.6187 0.0000
0.0000 0.0000 5.0325
Li Ca Be Co
2 1 1 1
direct
0.0000 0.5000 0.0000
0.5000 0.0000 0.0000
0.0000 0.0000 0.5000
0.5000 0.5000 0.5000
0.0000 0.0000 0.0000
```

Computed properties:
- Excess energy over the best structure of this formula in the dataset: 570 meV per atom
- DFT total energy: -2.47 eV/atom
- Magnetic moment: 0.00 μB per formula unit
- Space-group type: P4/mmm, No. 123
- ΔE_f: 0.861 eV/atom
- DOS(E_F): 1.040 states/eV per atom



2.
Ce5Th3 | PBE-GGA | optimized geometry

POSCAR file:
```
Ce5Th3
1.0
4.8465 -4.8586 0.0000
4.8465 4.8586 0.0000
0.0000 0.0000 4.8698
Ce Th
5 3
direct
0.0000 0.0000 0.0000
0.0000 0.5000 0.0000
0.2504 0.2504 0.5000
0.5000 0.0000 0.0000
0.7496 0.7496 0.5000
0.2478 0.7522 0.5000
0.5000 0.5000 0.0000
0.7522 0.2478 0.5000
```

Computed properties:
- Excess energy over the best structure of this formula in the dataset: 0 meV per atom
- DFT total energy: -6.47 eV/atom
- Magnetic moment: 0.00 μB per formula unit
- Space-group type: Cmmm, No. 65
- ΔE_f: 0.017 eV/atom
- DOS(E_F): 2.099 states/eV per atom



3.
Li2PmZn6 | PBE-GGA | optimized geometry

POSCAR file:
```
Li2PmZn6
1.0
0.0000 5.7174 5.7174
5.7174 0.0000 5.7174
5.7174 5.7174 0.0000
Li Pm Zn
4 2 12
direct
0.0000 0.0000 0.0000
0.0000 0.0000 0.5000
0.0000 0.5000 0.0000
0.5000 0.0000 0.0000
0.3750 0.3750 0.3750
0.6250 0.6250 0.6250
0.1180 0.1180 0.6320
0.1180 0.6320 0.1180
0.1180 0.6320 0.6320
0.3680 0.3680 0.8820
0.3680 0.8820 0.3680
0.3680 0.8820 0.8820
0.6320 0.1180 0.1180
0.6320 0.1180 0.6320
0.6320 0.6320 0.1180
0.8820 0.3680 0.3680
0.8820 0.3680 0.8820
0.8820 0.8820 0.3680
```

Computed properties:
- Excess energy over the best structure of this formula in the dataset: 414 meV per atom
- DFT total energy: -1.53 eV/atom
- Magnetic moment: 0.00 μB per formula unit
- Space-group type: Fd-3m, No. 227
- ΔE_f: 0.268 eV/atom
- DOS(E_F): 0.580 states/eV per atom